Material: Pr2NiP2Pd
Method: DFT, PBE
State: optimized geometry

```
Pr2NiP2Pd
1.0
4.120 0.000 0.000
-2.060 3.568 0.000
0.000 0.000 8.090
Pr Ni P Pd
2 1 2 1
direct
0.000 0.000 0.243
0.000 0.000 0.757
0.667 0.333 0.000
0.333 0.667 0.000
0.667 0.333 0.500
0.333 0.667 0.500
```

Calculated values
- calculated volume (Å³/cell) = 119.0
- total DFT energy (no corrections) (eV per atom) = -6.35
- size of the total moment (μB per formula unit) = 0.00